Entry 1:
! Pr2MgGa4Cu3, relaxed, DFT PBE; values from VASP
! SG: P-4m2, No. 115
! VASP energy (eV/atom): -3.980
&SYSTEM
  ibrav = 0, nat = 10, ntyp = 4
/
ATOMIC_SPECIES
Pr 140.91 Pr.upf
Mg 24.30 Mg.upf
Ga 69.72 Ga.upf
Cu 63.55 Cu.upf
ATOMIC_POSITIONS crystal
Pr 0.0000 0.5000 0.2382
Pr 0.5000 0.0000 0.7618
Mg 0.0000 0.0000 0.5000
Ga 0.0000 0.0000 0.0000
Ga 0.0000 0.5000 0.6507
Ga 0.5000 0.0000 0.3493
Ga 0.5000 0.5000 0.0000
Cu 0.0000 0.5000 0.8756
Cu 0.5000 0.0000 0.1244
Cu 0.5000 0.5000 0.5000
CELL_PARAMETERS angstrom
4.2253 0.0000 0.0000
0.0000 4.2253 0.0000
0.0000 0.0000 10.7960

---

Entry 2:
! Tb5Nd2Tm, relaxed, DFT PBE; values from VASP
! SG: Pbam, No. 55
! VASP energy (eV/atom): -4.627
! Energy above the most stable polymorph in this dataset (eV/atom): 0.000
&SYSTEM
  ibrav = 0, nat = 16, ntyp = 3
/
ATOMIC_SPECIES
Tb 158.93 Tb.upf
Nd 144.24 Nd.upf
Tm 168.93 Tm.upf
ATOMIC_POSITIONS crystal
Tb 0.0000 0.0000 0.0000
Tb 0.0016 0.2504 0.0000
Tb 0.2486 0.8751 0.5000
Tb 0.2514 0.3751 0.5000
Tb 0.4984 0.7504 0.0000
Tb 0.5000 0.5000 0.0000
Tb 0.5016 0.2496 0.0000
Tb 0.7486 0.6249 0.5000
Tb 0.7514 0.1249 0.5000
Tb 0.9984 0.7496 0.0000
Nd 0.2486 0.6246 0.5000
Nd 0.2514 0.1246 0.5000
Nd 0.7486 0.8754 0.5000
Nd 0.7514 0.3754 0.5000
Tm 0.0000 0.5000 0.0000
Tm 0.5000 0.0000 0.0000
CELL_PARAMETERS angstrom
7.1646 0.0000 0.0000
0.0000 14.3363 0.0000
0.0000 0.0000 5.0564

---

Summary of M_tot in μB/cell
0.00; 0.00
(order as listed above)